This record from the Alexandria database describes a geometry-optimized SiI3 structure. The functional is GGA-PBE. Values from VASP.

As for the density of states at the Fermi level: 2.424 states/eV/f.u. Its spin magnetization is 0.00 μB per formula unit. The theoretical density comes out at 3.8 g/cm³. As for the total DFT energy (no corrections): -0.1835 Ry/atom. As for the uncorrected formation energy: 0.09 eV/f.u.

Structure (Quantum ESPRESSO input):
```
&SYSTEM
  ibrav = 0, nat = 4, ntyp = 2
/
ATOMIC_SPECIES
I 126.90 I.upf
Si 28.09 Si.upf
CELL_PARAMETERS angstrom
-1.6926 2.7521 -1.6457
-2.5741 -4.8893 -5.5291
-3.0611 -0.0751 7.0170
ATOMIC_POSITIONS angstrom
I -4.6771 -2.7682 0.1809
I -1.6726 -0.1935 -2.5979
I -2.1470 1.5126 0.7431
Si -0.1063 -0.2019 -0.2283
```

---

This record from the Alexandria database describes a geometry-optimized SiI structure. The functional is GGA-PBE. Values from VASP.

As for the density of states at the Fermi level: 0.139 states/eV/f.u. Its spin magnetization is 0.00 μB per formula unit. The theoretical density comes out at 3.3 g/cm³. For the energy above the most stable polymorph in this dataset, the calculation gives 25.3 kJ per mole of atoms. As for the total DFT energy (no corrections): -0.2453 Ry/atom. As for the uncorrected formation energy: 0.30 eV/f.u.

Structure (Quantum ESPRESSO input):
```
&SYSTEM
  ibrav = 0, nat = 4, ntyp = 2
/
ATOMIC_SPECIES
I 126.90 I.upf
Si 28.09 Si.upf
CELL_PARAMETERS angstrom
-0.8947 -1.0404 -3.7970
1.1404 -4.6276 3.1105
-6.7440 0.6909 3.3417
ATOMIC_POSITIONS angstrom
I -0.8483 -4.0337 2.2601
I -5.6499 -0.9434 0.3952
Si -3.4380 -2.1435 0.2042
Si -3.0603 -2.8335 2.4510
```

---

This record from the Alexandria database describes a geometry-optimized SiI structure. The functional is GGA-PBE. Values from VASP.

As for the density of states at the Fermi level: 0.321 states/eV/f.u. Its spin magnetization is 0.00 μB per formula unit. The theoretical density comes out at 3.0 g/cm³. For the energy above the most stable polymorph in this dataset, the calculation gives 28.7 kJ per mole of atoms. As for the total DFT energy (no corrections): -0.2427 Ry/atom. As for the uncorrected formation energy: 0.37 eV/f.u.

Structure (Quantum ESPRESSO input):
```
&SYSTEM
  ibrav = 0, nat = 16, ntyp = 2
/
ATOMIC_SPECIES
Si 28.09 Si.upf
I 126.90 I.upf
CELL_PARAMETERS angstrom
-1.3000 7.6596 -10.4904
-12.4383 -3.7719 -1.2127
-1.1511 3.0370 2.3602
ATOMIC_POSITIONS angstrom
Si -10.4338 4.2905 -7.1949
Si -4.4557 2.6342 -2.1480
Si -9.8404 0.9817 -2.6478
Si -5.0490 5.9430 -6.6951
Si -3.7632 5.1935 -8.5184
Si -9.9751 -1.3058 -3.1848
Si -10.7968 3.0051 -9.1328
Si -2.9415 0.8826 -2.5703
I -7.4630 5.3865 -7.1564
I -7.4264 1.5382 -2.1866
I -10.4556 2.7392 -5.2093
I -4.4339 4.1856 -4.1337
I -10.7415 4.5641 -11.1119
I -2.9968 -0.6764 -0.5913
I -12.3886 -1.8407 -3.6736
I -1.3497 5.7284 -8.0296
```

---

This record from the Alexandria database describes a geometry-optimized SiI structure. The functional is GGA-PBE. Values from VASP.

As for the density of states at the Fermi level: 2.145 states/eV/f.u. Its spin magnetization is 0.00 μB per formula unit. The theoretical density comes out at 4.5 g/cm³. For the energy above the most stable polymorph in this dataset, the calculation gives 85.6 kJ per mole of atoms. As for the total DFT energy (no corrections): -0.1994 Ry/atom. As for the uncorrected formation energy: 1.55 eV/f.u.

Structure (Quantum ESPRESSO input):
```
&SYSTEM
  ibrav = 0, nat = 8, ntyp = 2
/
ATOMIC_SPECIES
Si 28.09 Si.upf
I 126.90 I.upf
CELL_PARAMETERS angstrom
-0.2473 0.9397 6.0342
1.3030 -5.8920 0.9709
5.9663 1.3257 0.0381
ATOMIC_POSITIONS angstrom
Si 0.0000 0.0000 0.0000
Si 3.6347 -2.2832 0.5045
Si 2.8595 1.1327 3.0362
Si 0.5278 -2.4762 3.5026
I 3.5110 -1.8133 3.5216
I -0.1237 0.4698 3.0171
I 0.6515 -2.9460 0.4855
I 2.9832 0.6628 0.0190
```

---

This record from the Alexandria database describes a geometry-optimized SiI structure. The functional is GGA-PBE. Values from VASP.

Its spin magnetization is 0.00 μB per formula unit. The theoretical density comes out at 3.9 g/cm³. For the energy above the most stable polymorph in this dataset, the calculation gives 0.0 kJ per mole of atoms. As for the total DFT energy (no corrections): -0.2646 Ry/atom. As for the uncorrected formation energy: -0.23 eV/f.u.

Structure (Quantum ESPRESSO input):
```
&SYSTEM
  ibrav = 0, nat = 4, ntyp = 2
/
ATOMIC_SPECIES
I 126.90 I.upf
Si 28.09 Si.upf
CELL_PARAMETERS angstrom
4.0484 0.0000 0.0000
-2.0158 3.5179 0.0000
-0.7938 -0.6060 9.2505
ATOMIC_POSITIONS angstrom
I 0.3451 -0.3531 7.5911
I -0.8091 1.3447 3.8882
Si -0.4199 1.1947 1.4359
Si 1.5974 0.0266 0.7764
```

---

This record from the Alexandria database describes a geometry-optimized SiI3 structure. The functional is GGA-PBE. Values from VASP.

As for the density of states at the Fermi level: 5.368 states/eV/f.u. Its spin magnetization is 0.00 μB per formula unit. The theoretical density comes out at 5.4 g/cm³. As for the total DFT energy (no corrections): -0.1382 Ry/atom. As for the uncorrected formation energy: 2.55 eV/f.u.

Structure (Quantum ESPRESSO input):
```
&SYSTEM
  ibrav = 0, nat = 4, ntyp = 2
/
ATOMIC_SPECIES
I 126.90 I.upf
Si 28.09 Si.upf
CELL_PARAMETERS angstrom
-0.5534 -1.2509 5.4403
-3.9339 2.5522 3.0788
-4.4767 -2.8768 1.7753
ATOMIC_POSITIONS angstrom
I -2.2410 -0.3939 2.5736
I -6.7230 -1.1816 7.7208
I -4.4820 -0.7877 5.1472
Si 0.0000 0.0000 0.0000
```

---

This record from the Alexandria database describes a geometry-optimized Si23I structure. The functional is GGA-PBE. Values from VASP.

As for the density of states at the Fermi level: 14.746 states/eV/f.u. Its spin magnetization is 0.00 μB per formula unit. The theoretical density comes out at 2.4 g/cm³. As for the total DFT energy (no corrections): -0.3795 Ry/atom. As for the uncorrected formation energy: 2.35 eV/f.u.

Structure (Quantum ESPRESSO input):
```
&SYSTEM
  ibrav = 0, nat = 48, ntyp = 2
/
ATOMIC_SPECIES
I 126.90 I.upf
Si 28.09 Si.upf
CELL_PARAMETERS angstrom
-6.0302 -6.6014 5.0628
2.5289 -7.4116 -6.6518
7.9256 -2.6578 5.9745
ATOMIC_POSITIONS angstrom
I 0.0000 0.0000 0.0000
I 2.2121 -8.3354 2.1927
Si 2.4552 -2.9792 4.2529
Si -0.5598 -6.2799 6.7843
Si 3.2458 -4.3702 -1.8323
Si 7.2086 -5.6991 1.1549
Si -2.3829 -5.1536 0.8684
Si -1.1184 -8.8594 -2.4575
Si 3.0252 -11.3987 2.9986
Si -0.8170 -7.6981 3.2475
Si 2.3286 -7.9959 -1.0578
Si 4.3119 -6.2488 3.5826
Si 3.6113 -13.6074 3.5796
Si -3.0010 -7.2387 4.0080
Si 2.4125 -7.7511 -3.4013
Si 5.8258 -4.7444 4.5846
Si 1.3991 -5.2720 1.3869
Si 5.2413 -8.9726 1.1379
Si 2.0957 -8.6749 5.4432
Si 0.1124 -10.4220 0.8029
Si 0.8130 -3.0634 0.8059
Si 7.4253 -9.4321 0.3774
Si 2.0118 -8.9197 7.7868
Si -1.4015 -11.9263 -0.1992
Si 8.7446 -7.4712 0.6738
Si 1.7098 -2.5981 -1.3512
Si 2.6785 -5.4370 -3.8990
Si 7.7760 -4.6324 3.2217
Si -1.9377 -11.1071 -2.3706
Si -3.8733 -5.4344 2.7207
Si 0.3720 -8.5786 -4.3097
Si -1.5636 -2.9058 0.7815
Si 0.1578 -7.6649 8.6003
Si -2.8779 -6.6469 6.3119
Si 1.7376 -1.5943 2.4369
Si 4.7733 -2.6123 4.7253
Si 1.2816 -10.6836 4.4554
Si -0.5778 -10.0600 3.0537
Si 3.1427 -5.9872 -0.0699
Si 5.0021 -6.6107 1.3318
Si 4.9537 -10.0247 3.2555
Si -0.5294 -6.6461 1.1300
Si 0.0639 -8.3849 -0.4306
Si 4.3604 -8.2858 4.8161
Si 2.2849 -11.3961 0.7346
Si 0.7247 -6.8234 4.8386
Si 3.6996 -9.8474 -0.4532
Si 2.1394 -5.2746 3.6508
```

---

This record from the Alexandria database describes a geometry-optimized SiI structure. The functional is GGA-PBE. Values from VASP.

As for the density of states at the Fermi level: 0.642 states/eV/f.u. Its spin magnetization is 0.00 μB per formula unit. The theoretical density comes out at 3.9 g/cm³. For the energy above the most stable polymorph in this dataset, the calculation gives 42.7 kJ per mole of atoms. As for the total DFT energy (no corrections): -0.2321 Ry/atom. As for the uncorrected formation energy: 0.66 eV/f.u.

Structure (Quantum ESPRESSO input):
```
&SYSTEM
  ibrav = 0, nat = 12, ntyp = 2
/
ATOMIC_SPECIES
Si 28.09 Si.upf
I 126.90 I.upf
CELL_PARAMETERS angstrom
3.9615 0.0000 0.0000
0.0000 4.6645 0.0000
0.0000 0.0000 21.4027
ATOMIC_POSITIONS angstrom
Si 0.0000 4.0026 16.0704
Si 1.9807 0.6619 16.0336
Si 1.9807 0.6619 5.3691
Si 0.0000 4.0026 5.3323
Si 0.0000 3.7108 0.0000
Si 1.9807 0.9537 10.7014
I 0.0000 3.1606 18.5345
I 1.9807 1.5039 13.5695
I 1.9807 1.5039 7.8332
I 0.0000 3.1606 2.8682
I 0.0000 3.6224 10.7014
I 1.9807 1.0421 0.0000
```

---

This record from the Alexandria database describes a geometry-optimized SiI structure. The functional is GGA-PBE. Values from VASP.

As for the density of states at the Fermi level: 1.757 states/eV/f.u. Its spin magnetization is 0.00 μB per formula unit. The theoretical density comes out at 3.2 g/cm³. For the energy above the most stable polymorph in this dataset, the calculation gives 107.8 kJ per mole of atoms. As for the total DFT energy (no corrections): -0.1825 Ry/atom. As for the uncorrected formation energy: 2.01 eV/f.u.

Structure (Quantum ESPRESSO input):
```
&SYSTEM
  ibrav = 0, nat = 8, ntyp = 2
/
ATOMIC_SPECIES
Si 28.09 Si.upf
I 126.90 I.upf
CELL_PARAMETERS angstrom
6.8745 0.0000 0.0000
0.0000 6.8745 0.0000
0.0000 0.0000 6.8745
ATOMIC_POSITIONS angstrom
Si 1.7186 1.7186 1.7186
Si 1.7186 5.1559 5.1559
Si 5.1559 1.7186 5.1559
Si 5.1559 5.1559 1.7186
I 0.0000 0.0000 0.0000
I 0.0000 3.4373 3.4373
I 3.4373 0.0000 3.4373
I 3.4373 3.4373 0.0000
```

---

This record from the Alexandria database describes a geometry-optimized SiI structure. The functional is GGA-PBE. Values from VASP.

As for the density of states at the Fermi level: 0.201 states/eV/f.u. Its spin magnetization is 0.00 μB per formula unit. The theoretical density comes out at 3.4 g/cm³. For the energy above the most stable polymorph in this dataset, the calculation gives 29.7 kJ per mole of atoms. As for the total DFT energy (no corrections): -0.2420 Ry/atom. As for the uncorrected formation energy: 0.39 eV/f.u.

Structure (Quantum ESPRESSO input):
```
&SYSTEM
  ibrav = 0, nat = 16, ntyp = 2
/
ATOMIC_SPECIES
Si 28.09 Si.upf
I 126.90 I.upf
CELL_PARAMETERS angstrom
8.8997 0.0000 0.0000
0.0000 7.2178 0.0000
0.0000 0.0000 9.3093
ATOMIC_POSITIONS angstrom
Si 5.7984 5.1363 2.5351
Si 1.3486 5.6904 6.7742
Si 3.1013 1.5274 2.1196
Si 7.5511 2.0815 7.1898
Si 0.5448 0.7702 6.6262
Si 4.9947 2.8387 2.6831
Si 8.3548 4.3791 7.3378
Si 3.9050 6.4476 1.9715
I 7.6647 5.1095 0.6683
I 3.2148 5.7171 8.6410
I 1.2350 1.5006 3.9864
I 5.6848 2.1082 5.3230
I 2.0029 2.1429 8.1791
I 6.4527 1.4660 1.1302
I 6.8968 5.7518 5.7849
I 2.4470 5.0749 3.5244
```